Entry from Alexandria: crystalline Y2NbC2 at its relaxed geometry (PBE).

Structure (POSCAR):
```
Y2NbC2
1.0
-5.7936 -2.2882 -2.1356
3.1264 -4.0191 -4.1753
0.0801 -2.5467 2.5114
Y Nb C
4 2 4
direct
0.1499 0.6499 0.5000
0.6499 0.8501 0.5000
0.8501 0.3501 0.5000
0.3501 0.1499 0.5000
0.0000 0.0000 0.0000
0.5000 0.5000 0.0000
0.3259 0.8259 0.0000
0.8259 0.6741 0.0000
0.6741 0.1741 0.0000
0.1741 0.3259 0.0000
```

Values from the calculation:
Calculated formation energy ... 0.006 eV/atom

=====

Entry from Alexandria: crystalline YNbC at its relaxed geometry (PBE).

Structure (POSCAR):
```
YNbC
1.0
-2.6140 -2.9579 -1.8164
5.1331 -4.3049 -0.3768
-2.2928 -0.2284 8.8688
Y Nb C
4 4 4
direct
0.0701 0.2697 0.1402
0.4034 0.2319 0.8069
0.5966 0.7681 0.1931
0.9299 0.7303 0.8598
0.2288 0.6199 0.4575
0.7838 0.9071 0.5676
0.7712 0.3801 0.5425
0.2162 0.0929 0.4324
0.2948 0.3955 0.5895
0.6947 0.0826 0.3894
0.7052 0.6045 0.4105
0.3053 0.9174 0.6106
```

Values from the calculation:
Calculated formation energy ... -0.084 eV/atom
Energy relative to the lowest polymorph listed for this composition ... 139 meV/atom

=====

Entry from Alexandria: crystalline Y2NbZnC at its relaxed geometry (PBE).

Structure (POSCAR):
```
Y2NbZnC
1.0
-2.6770 3.6297 3.1170
-4.7625 -2.3633 -1.3381
0.3469 -2.5467 3.2635
Y C Nb Zn
2 1 1 1
direct
0.0000 0.5000 0.0000
0.5000 0.0000 0.0000
0.0000 0.0000 0.5000
0.0000 0.0000 0.0000
0.5000 0.5000 0.5000
```

Values from the calculation:
Calculated formation energy ... 0.885 eV/atom
Energy relative to the lowest polymorph listed for this composition ... 1051 meV/atom

=====

Entry from Alexandria: crystalline Y2NbZnC at its relaxed geometry (PBE).

Structure (POSCAR):
```
Y2NbZnC
1.0
4.9320 0.0000 0.0000
0.0000 4.9320 0.0000
0.0000 0.0000 4.2678
Y C Nb Zn
2 1 1 1
direct
0.0000 0.5000 0.0000
0.5000 0.0000 0.0000
0.0000 0.0000 0.0000
0.0000 0.0000 0.5000
0.5000 0.5000 0.5000
```

Values from the calculation:
Calculated formation energy ... -0.166 eV/atom
Energy relative to the lowest polymorph listed for this composition ... 0 meV/atom

=====

Entry from Alexandria: crystalline Nb3Zn3C at its relaxed geometry (PBE).

Structure (POSCAR):
```
Nb3Zn3C
1.0
-5.8122 2.8439 5.2845
1.9465 1.3681 8.0084
0.4658 7.8177 2.9089
Nb Zn C
12 12 4
direct
0.0693 0.4307 0.0693
0.1807 0.1807 0.8193
0.8193 0.8193 0.1807
0.8193 0.1807 0.8193
0.8193 0.1807 0.1807
0.1807 0.8193 0.8193
0.4307 0.0693 0.0693
0.0693 0.0693 0.4307
0.4307 0.4307 0.0693
0.0693 0.4307 0.4307
0.1807 0.8193 0.1807
0.4307 0.0693 0.4307
0.8326 0.8326 0.8326
0.4174 0.4174 0.7478
0.4174 0.7478 0.4174
0.7478 0.4174 0.4174
0.8326 0.5022 0.8326
0.5022 0.8326 0.8326
0.8326 0.8326 0.5022
0.4174 0.4174 0.4174
0.6250 0.6250 0.6250
0.6250 0.6250 0.1250
0.6250 0.1250 0.6250
0.1250 0.6250 0.6250
0.1250 0.1250 0.1250
0.1250 0.1250 0.6250
0.1250 0.6250 0.1250
0.6250 0.1250 0.1250
```

Values from the calculation:
Calculated formation energy ... -0.333 eV/atom

=====

Entry from Alexandria: crystalline Nb2ZnC at its relaxed geometry (PBE).

Structure (POSCAR):
```
Nb2ZnC
1.0
3.0050 -0.0005 -0.7713
-0.2376 5.4493 -0.9230
0.2484 0.2458 7.2047
Nb Zn C
4 2 2
direct
0.0960 0.9982 0.4798
0.4170 0.1068 0.1226
0.9214 0.6046 0.1304
0.5918 0.5003 0.4720
0.7534 0.2823 0.7984
0.7587 0.8226 0.8040
0.0082 0.3005 0.3048
0.5049 0.8045 0.2976
```

Values from the calculation:
Calculated formation energy ... -0.302 eV/atom
Energy relative to the lowest polymorph listed for this composition ... 41 meV/atom

=====

Entry from Alexandria: crystalline NbZn3C at its relaxed geometry (PBE).

Structure (POSCAR):
```
NbZn3C
1.0
4.1496 0.0000 0.0000
0.0000 4.1496 0.0000
0.0000 0.0000 4.1496
C Nb Zn
1 1 3
direct
0.0000 0.0000 0.0000
0.5000 0.5000 0.5000
0.0000 0.5000 0.0000
0.0000 0.0000 0.5000
0.5000 0.0000 0.0000
```

Values from the calculation:
Calculated formation energy ... 0.884 eV/atom
Energy relative to the lowest polymorph listed for this composition ... 0 meV/atom

=====

Entry from Alexandria: crystalline Nb2ZnC at its relaxed geometry (PBE).

Structure (POSCAR):
```
Nb2ZnC
1.0
3.1770 0.0000 0.0000
-1.5885 2.7011 -0.0374
0.0000 -1.8923 6.9180
Nb Zn C
2 1 1
direct
0.2686 0.0372 0.3233
0.7314 0.9628 0.6767
0.5000 0.5000 0.0000
0.0000 0.5000 0.5000
```

Values from the calculation:
Calculated formation energy ... -0.342 eV/atom
Energy relative to the lowest polymorph listed for this composition ... 0 meV/atom

=====

Entry from Alexandria: crystalline Nb2ZnC at its relaxed geometry (PBE).

Structure (POSCAR):
```
Nb2ZnC
1.0
6.4231 0.0000 0.0000
0.0000 6.4231 0.0000
3.2115 3.2115 2.8652
C Nb Zn
2 4 2
direct
0.5000 0.5000 0.0000
0.2500 0.7500 0.5000
0.5689 0.1250 0.2500
0.1811 0.6250 0.2500
0.3750 0.4311 0.7500
0.8750 0.8189 0.7500
0.0000 0.0000 0.0000
0.7500 0.2500 0.5000
```

Values from the calculation:
Calculated formation energy ... 0.175 eV/atom
Energy relative to the lowest polymorph listed for this composition ... 518 meV/atom

=====

Entry from Alexandria: crystalline Nb2ZnC at its relaxed geometry (PBE).

Structure (POSCAR):
```
Nb2ZnC
1.0
0.0000 3.0193 3.0193
3.0193 0.0000 3.0193
3.0193 3.0193 0.0000
C Nb Zn
1 2 1
direct
0.0000 0.0000 0.0000
0.2500 0.2500 0.2500
0.7500 0.7500 0.7500
0.5000 0.5000 0.5000
```

Values from the calculation:
Calculated formation energy ... 0.775 eV/atom
Energy relative to the lowest polymorph listed for this composition ... 1117 meV/atom

=====

Entry from Alexandria: crystalline NbZnC3 at its relaxed geometry (PBE).

Structure (POSCAR):
```
NbZnC3
1.0
-1.9190 -2.7249 -1.8882
2.2312 0.5521 -3.0643
2.4520 -2.6350 1.3106
C Nb Zn
3 1 1
direct
0.0000 0.5000 0.0000
0.0000 0.0000 0.5000
0.5000 0.0000 0.0000
0.5000 0.5000 0.5000
0.0000 0.0000 0.0000
```

Values from the calculation:
Calculated formation energy ... 2.389 eV/atom
Energy relative to the lowest polymorph listed for this composition ... 362 meV/atom

=====

Entry from Alexandria: crystalline NbZnC3 at its relaxed geometry (PBE).

Structure (POSCAR):
```
NbZnC3
1.0
-1.0745 3.5407 -2.0134
-1.3512 -2.2742 -3.2783
-3.8424 -0.1904 1.7158
C Nb Zn
3 1 1
direct
0.0000 0.5000 0.0000
0.0000 0.0000 0.5000
0.5000 0.0000 0.0000
0.0000 0.0000 0.0000
0.5000 0.5000 0.5000
```

Values from the calculation:
Calculated formation energy ... 2.028 eV/atom
Energy relative to the lowest polymorph listed for this composition ... 0 meV/atom